Entry 1:
First-principles (PBE) data for a relaxed structure of K2Ca4Zn, as listed in Alexandria via LeMat-Bulk.

Structure (extended XYZ):
```
14
Lattice="5.908 0.000 0.000 0.000 5.908 0.000 0.000 0.000 20.349" Properties=species:S:1:pos:R:3 pbc="T T T"
K 0.000 0.000 3.187
K 0.000 0.000 17.162
K 2.954 2.954 6.988
K 2.954 2.954 13.361
Ca 0.000 0.000 7.297
Ca 0.000 0.000 13.052
Ca 0.000 2.954 0.000
Ca 0.000 2.954 10.174
Ca 2.954 0.000 0.000
Ca 2.954 0.000 10.174
Ca 2.954 2.954 2.878
Ca 2.954 2.954 17.471
Zn 0.000 0.000 10.174
Zn 2.954 2.954 0.000
```

Output
calculated total energy = -20.80 eV/cell
DFT formation energy = 1.07 eV/f.u.
magnetization = 0.0 Bohr magnetons per cell

***

Entry 2:
First-principles (PBE) data for a relaxed structure of KCaZn2, as listed in Alexandria via LeMat-Bulk.

Structure (extended XYZ):
```
16
Lattice="8.577 0.000 0.000 0.000 8.577 0.000 0.000 0.000 7.217" Properties=species:S:1:pos:R:3 pbc="T T T"
K 0.000 0.000 0.000
K 0.000 4.289 1.804
K 4.289 0.000 5.413
K 4.289 4.289 3.608
Ca 0.000 0.000 3.608
Ca 0.000 4.289 5.413
Ca 4.289 0.000 1.804
Ca 4.289 4.289 0.000
Zn 1.963 6.433 4.511
Zn 2.144 1.963 2.706
Zn 2.144 2.325 6.315
Zn 2.325 6.433 0.902
Zn 6.252 2.144 0.902
Zn 6.433 6.252 6.315
Zn 6.433 6.614 2.706
Zn 6.614 2.144 4.511
```

Output
distance to the lowest polymorph of the same formula = 262 meV per atom
calculated total energy = -18.43 eV/cell
DFT formation energy = 1.04 eV/f.u.
magnetization = 0.0 Bohr magnetons per cell

***

Entry 3:
First-principles (PBE) data for a relaxed structure of KCaZn4, as listed in Alexandria via LeMat-Bulk.

Structure (extended XYZ):
```
6
Lattice="0.000 4.050 4.050 4.050 0.000 4.050 4.050 4.050 0.000" Properties=species:S:1:pos:R:3 pbc="T T T"
K 0.000 0.000 0.000
Ca 2.025 2.025 2.025
Zn 5.054 3.045 3.045
Zn 3.045 5.054 3.045
Zn 3.045 3.045 5.054
Zn 5.054 5.054 5.054
```

Output
calculated total energy = -8.28 eV/cell
DFT formation energy = -0.09 eV/f.u.
magnetization = 0.0 Bohr magnetons per cell

***

Entry 4:
First-principles (PBE) data for a relaxed structure of KCa4Zn, as listed in Alexandria via LeMat-Bulk.

Structure (extended XYZ):
```
6
Lattice="0.000 5.144 5.144 5.144 0.000 5.144 5.144 5.144 0.000" Properties=species:S:1:pos:R:3 pbc="T T T"
K 0.000 0.000 0.000
Ca 3.862 3.862 3.862
Ca 6.426 6.426 3.862
Ca 6.426 3.862 6.426
Ca 3.862 6.426 6.426
Zn 7.716 7.716 7.716
```

Output
calculated total energy = -8.26 eV/cell
DFT formation energy = 2.12 eV/f.u.
magnetization = 0.0 Bohr magnetons per cell

***

Entry 5:
First-principles (PBE) data for a relaxed structure of KCaZrZn2, as listed in Alexandria via LeMat-Bulk.

Structure (extended XYZ):
```
5
Lattice="5.423 0.000 0.000 0.000 5.423 0.000 0.000 0.000 5.834" Properties=species:S:1:pos:R:3 pbc="T T T"
K 0.000 0.000 0.000
Ca 2.712 2.712 0.000
Zr 2.712 2.712 2.917
Zn 0.000 2.712 2.917
Zn 2.712 0.000 2.917
```

Output
calculated total energy = -11.14 eV/cell
DFT formation energy = 3.06 eV/f.u.
magnetization = 0.0 Bohr magnetons per cell

***

Entry 6:
First-principles (PBE) data for a relaxed structure of K2CaZr, as listed in Alexandria via LeMat-Bulk.

Structure (extended XYZ):
```
12
Lattice="3.600 0.000 0.000 -1.800 3.117 0.000 0.000 0.000 42.504" Properties=species:S:1:pos:R:3 pbc="T T T"
K 0.000 0.000 10.401
K 0.000 0.000 32.103
K 0.000 2.078 17.935
K 0.000 2.078 38.737
K 1.800 1.039 3.767
K 1.800 1.039 24.569
Ca 0.000 0.000 0.000
Ca 0.000 2.078 28.336
Ca 1.800 1.039 14.168
Zr 0.000 0.000 21.252
Zr 0.000 2.078 7.084
Zr 1.800 1.039 35.420
```

Output
distance to the lowest polymorph of the same formula = 152 meV per atom
calculated total energy = -30.21 eV/cell
DFT formation energy = 2.68 eV/f.u.
magnetization = 4.3 Bohr magnetons per cell

***

Entry 7:
First-principles (PBE) data for a relaxed structure of KCa2Zr, as listed in Alexandria via LeMat-Bulk.

Structure (extended XYZ):
```
12
Lattice="3.640 0.000 0.000 -1.820 3.152 0.000 0.000 0.000 39.264" Properties=species:S:1:pos:R:3 pbc="T T T"
K 0.000 0.000 0.000
K 0.000 2.101 26.176
K 1.820 1.051 13.088
Ca 0.000 0.000 9.256
Ca 0.000 0.000 30.008
Ca 0.000 2.101 16.920
Ca 0.000 2.101 35.432
Ca 1.820 1.051 3.832
Ca 1.820 1.051 22.344
Zr 0.000 0.000 19.632
Zr 0.000 2.101 6.544
Zr 1.820 1.051 32.720
```

Output
distance to the lowest polymorph of the same formula = 46 meV per atom
calculated total energy = -36.47 eV/cell
DFT formation energy = 1.49 eV/f.u.
magnetization = 2.7 Bohr magnetons per cell

***

Entry 8:
First-principles (PBE) data for a relaxed structure of KCa2Zr, as listed in Alexandria via LeMat-Bulk.

Structure (extended XYZ):
```
8
Lattice="11.712 0.000 0.000 0.000 3.486 0.000 -0.775 0.000 7.564" Properties=species:S:1:pos:R:3 pbc="T T T"
K 0.000 0.000 0.000
K 5.856 1.743 0.000
Ca 2.261 0.000 5.346
Ca 2.820 1.743 2.218
Ca 8.117 1.743 5.346
Ca 8.676 0.000 2.218
Zr -0.388 1.743 3.782
Zr 5.469 0.000 3.782
```

Output
distance to the lowest polymorph of the same formula = 241 meV per atom
calculated total energy = -22.76 eV/cell
DFT formation energy = 2.27 eV/f.u.
magnetization = 4.0 Bohr magnetons per cell